Record 1
Compound: CaMnAl2Rh
Source: Alexandria via LeMat-Bulk
Functional: PBE
Structure: relaxed

a = 4.7017 Å, b = 4.9630 Å, c = 4.7017 Å
α = 90.00°, β = 90.00°, γ = 90.00°
Closest atoms and distances in Å follow each position.
Element x y z (fractional)
Rh 0.0000 0.0000 0.0000  4 Al 2.35, 2 Mn 2.48
Ca 0.5000 0.5000 0.5000  4 Mn 3.32, 8 Al 3.42
Al 0.0000 0.0000 0.5000  2 Rh 2.35
Al 0.5000 0.0000 0.0000  2 Rh 2.35
Mn 0.0000 0.5000 0.0000  2 Rh 2.48

Summary:
Crystal system: tetragonal
Symmetry: P4/mmm, No. 123
Energy of formation from the pure elements: -0.7 eV per formula unit



Record 2
Compound: CaMnAl2Ru
Source: Alexandria via LeMat-Bulk
Functional: PBE
Structure: relaxed

a = 4.7152 Å, b = 4.9280 Å, c = 4.7152 Å
α = 90.00°, β = 90.00°, γ = 90.00°
Closest atoms and distances in Å follow each position.
Element x y z (fractional)
Mn 0.0000 0.5000 0.0000  2 Ru 2.46
Al 0.5000 0.0000 0.0000  2 Ru 2.36
Al 0.0000 0.0000 0.5000  2 Ru 2.36
Ca 0.5000 0.5000 0.5000  4 Mn 3.33, 8 Al 3.41
Ru 0.0000 0.0000 0.0000  4 Al 2.36, 2 Mn 2.46

Summary:
Crystal system: tetragonal
Symmetry: P4/mmm, No. 123
Energy of formation from the pure elements: -0.1 eV per formula unit



Record 3
Compound: Ca2MnAlSe5
Source: Alexandria via LeMat-Bulk
Functional: PBE
Structure: relaxed

a = 3.9011 Å, b = 9.0075 Å, c = 12.6749 Å
α = 90.00°, β = 90.00°, γ = 102.51°
Closest atoms and distances in Å follow each position.
Element x y z (fractional)
Se 0.6327 0.2655 0.4875  1 Mn 2.59, 2 Ca 2.87
Se 0.5076 0.0152 0.7729  1 Al 2.36
Se 0.7303 0.4607 0.1775  2 Mn 2.62
Se 0.4924 0.9848 0.2729  1 Al 2.36
Se 0.7076 0.4153 0.9058  1 Al 2.42, 2 Mn 2.61
Se 0.9411 0.8822 0.5490  2 Al 2.43
Se 0.3673 0.7345 0.9875  1 Mn 2.59, 2 Ca 2.87
Se 0.0589 0.1178 0.0490  2 Al 2.43
Se 0.2697 0.5393 0.6775  2 Mn 2.62
Se 0.2924 0.5847 0.4058  1 Al 2.42, 2 Mn 2.61
Mn 0.2248 0.4497 0.0399  5 Se 2.59-2.62
Mn 0.7752 0.5503 0.5399  5 Se 2.59-2.62
Ca 0.8735 0.7471 0.8074  7 Se 3.00-3.17
Ca 0.1265 0.2529 0.3074  7 Se 3.00-3.17
Ca 0.1001 0.2002 0.6478  6 Se 2.87-3.06
Ca 0.8999 0.7998 0.1478  6 Se 2.87-3.06
Al 0.5721 0.1441 0.9363  4 Se 2.36-2.43
Al 0.4279 0.8559 0.4363  4 Se 2.36-2.43

Summary:
Uncorrected formation energy: -1206 meV/atom
Crystal system: orthorhombic
Symmetry: Cmc2_1, No. 36



Record 4
Compound: CaAl2Mo
Source: Alexandria via LeMat-Bulk
Functional: PBE
Structure: relaxed

a = 5.8466 Å, b = 5.8466 Å, c = 5.8466 Å
α = 150.52°, β = 129.14°, γ = 59.88°
Closest atoms and distances in Å follow each position.
Element x y z (fractional)
Al 0.7741 0.2741 0.5000  4 Al 2.78-2.98, 4 Mo 2.96
Al 0.0055 0.0055 0.0000  2 Mo 2.66, 4 Al 2.78-2.98, 4 Ca 2.92
Ca 0.4967 0.4967 0.0000  6 Al 2.92-3.18, 2 Ca 2.98, 2 Mo 3.14
Mo 0.2236 0.7236 0.5000  6 Al 2.66-2.96, 2 Mo 2.98

Summary:
Offset from the most stable computed form: 306 meV per atom
Crystal system: orthorhombic
Symmetry: Imm2, No. 44
Energy of formation from the pure elements: 0.8 eV per formula unit



| no. | total DFT energy (no corrections) (eV per cell) | M_tot (μB per cell) |
| --- | --- | --- |
| 1 | -26.68 | 4.05 |
| 2 | -28.01 | 4.37 |
| 3 | -90.38 | 8.00 |
| 4 | -19.51 | 0.00 |